Computed, not measured: a geometry-optimized RbCe2PuO8 structure at the PBE level of DFT.

Output
For the formation energy (no corrections), the calculation gives -257 kJ/mol of atoms.

Lattice parameters (Å, degrees): 5.3769 5.3068 7.2058 90.01 90.01 89.50
Closest atoms and distances in Å follow each position.
Element x y z (fractional)
O (0.1768, 0.8097, 0.8145)  1 Pu 1.92
O (0.8232, 0.1903, 0.1855)  1 Pu 1.92
O (0.3109, 0.3027, 0.0000)  2 Ce 2.33, 1 Pu 2.33
O (0.6891, 0.6973, 0.0000)  2 Ce 2.33, 1 Pu 2.33
O (0.1769, 0.8098, 0.1855)  1 Pu 1.92
O (0.3573, 0.3225, 0.5000)  2 Ce 2.17
O (0.6427, 0.6775, 0.5000)  2 Ce 2.17
O (0.8231, 0.1902, 0.8145)  1 Pu 1.92
Ce (0.5000, 0.5000, 0.2509)  6 O 2.17-2.43
Ce (0.5000, 0.5000, 0.7491)  6 O 2.17-2.43
Pu (0.0000, 0.0000, 0.0000)  4 O 1.92
Rb (0.0000, 0.0000, 0.5000)  6 O 2.58-2.65